No. 1
Here is an optimized crystal structure of Tb4NdSm3 from Alexandria. Energies are from PBE.

CIF file:
```
data_Tb4NdSm3
_cell_length_a 11.559
_cell_length_b 7.322
_cell_length_c 6.320
_cell_angle_alpha 90.00
_cell_angle_beta 90.00
_cell_angle_gamma 90.00
_symmetry_space_group_name_H-M 'P m n 21'
_symmetry_Int_Tables_number 31
_symmetry_space_group_name_Hall 'P 2ac -2'
loop_
_atom_site_label
_atom_site_fract_x
_atom_site_fract_y
_atom_site_fract_z
Tb1 0.000 0.123 0.000
Tb2 0.000 0.877 0.500
Tb3 0.249 0.123 0.333
Nd1 0.000 0.626 0.999
Sm1 0.000 0.373 0.499
Sm2 0.250 0.373 0.833
```

Values from the calculation:
Energy (eV per formula unit): -37.246
M_tot (μB per atom): 0.000
ΔE_f (kJ per mole of atoms): 2.41

No. 2
Here is an optimized crystal structure of CdRh2Pb from Alexandria. Energies are from PBE.

CIF file:
```
data_CdRh2Pb
_cell_length_a 3.445
_cell_length_b 3.445
_cell_length_c 6.403
_cell_angle_alpha 90.00
_cell_angle_beta 90.00
_cell_angle_gamma 90.00
_symmetry_space_group_name_H-M 'P 4 m m'
_symmetry_Int_Tables_number 99
_symmetry_space_group_name_Hall 'P 4 -2'
loop_
_atom_site_label
_atom_site_fract_x
_atom_site_fract_y
_atom_site_fract_z
Cd1 0.000 0.000 0.000
Rh1 0.000 0.000 0.555
Rh2 0.500 0.500 0.793
Pb1 0.500 0.500 0.337
```

Values from the calculation:
Energy (eV per formula unit): -18.674
M_tot (μB per atom): 0.001
ΔE_f (kJ per mole of atoms): 15.73

No. 3
Here is an optimized crystal structure of Zn2AsP from Alexandria. Energies are from PBE.

CIF file:
```
data_Zn2AsP
_cell_length_a 3.675
_cell_length_b 5.088
_cell_length_c 7.394
_cell_angle_alpha 90.00
_cell_angle_beta 90.00
_cell_angle_gamma 90.00
_symmetry_space_group_name_H-M 'C m m m'
_symmetry_Int_Tables_number 65
_symmetry_space_group_name_Hall '-C 2 2'
loop_
_atom_site_label
_atom_site_fract_x
_atom_site_fract_y
_atom_site_fract_z
Zn1 0.000 0.000 0.232
As1 0.000 0.500 0.500
P1 0.000 0.500 0.000
```

Values from the calculation:
Energy (eV per formula unit): -11.496
M_tot (μB per atom): 0.000
ΔE_f (kJ per mole of atoms): 26.81

No. 4
Here is an optimized crystal structure of Nb6VPt from Alexandria. Energies are from PBE.

CIF file:
```
data_Nb6VPt
_cell_length_a 4.630
_cell_length_b 4.630
_cell_length_c 12.958
_cell_angle_alpha 90.00
_cell_angle_beta 90.00
_cell_angle_gamma 90.00
_symmetry_space_group_name_H-M 'I 4/m m m'
_symmetry_Int_Tables_number 139
_symmetry_space_group_name_Hall '-I 4 2'
loop_
_atom_site_label
_atom_site_fract_x
_atom_site_fract_y
_atom_site_fract_z
Nb1 0.000 0.000 0.245
Nb2 0.000 0.500 0.124
V1 0.000 0.000 0.000
Pt1 0.000 0.000 0.500
```

Values from the calculation:
Energy (eV per formula unit): -76.936
M_tot (μB per atom): 0.000
ΔE_f (kJ per mole of atoms): -16.38

No. 5
Here is an optimized crystal structure of Nd2Ga3Cu4Ni from Alexandria. Energies are from PBE.

CIF file:
```
data_Nd2Ga3Cu4Ni
_cell_length_a 4.177
_cell_length_b 4.177
_cell_length_c 10.084
_cell_angle_alpha 90.00
_cell_angle_beta 90.00
_cell_angle_gamma 90.00
_symmetry_space_group_name_H-M 'P -4 m 2'
_symmetry_Int_Tables_number 115
_symmetry_space_group_name_Hall 'P -4 -2'
loop_
_atom_site_label
_atom_site_fract_x
_atom_site_fract_y
_atom_site_fract_z
Nd1 0.000 0.500 0.242
Ga1 0.000 0.000 0.000
Ga2 0.000 0.500 0.630
Cu1 0.000 0.000 0.500
Cu2 0.000 0.500 0.872
Cu3 0.500 0.500 0.500
Ni1 0.500 0.500 0.000
```

Values from the calculation:
Energy (eV per formula unit): -44.275
M_tot (μB per atom): 0.000
ΔE_f (kJ per mole of atoms): -33.70

No. 6
Here is an optimized crystal structure of LiAcPdPb2 from Alexandria. Energies are from PBE.

CIF file:
```
data_LiAcPdPb2
_cell_length_a 4.721
_cell_length_b 4.721
_cell_length_c 11.727
_cell_angle_alpha 90.00
_cell_angle_beta 90.00
_cell_angle_gamma 90.00
_symmetry_space_group_name_H-M 'I -4 m 2'
_symmetry_Int_Tables_number 119
_symmetry_space_group_name_Hall 'I -4 -2'
loop_
_atom_site_label
_atom_site_fract_x
_atom_site_fract_y
_atom_site_fract_z
Li1 0.000 0.000 0.000
Ac1 0.000 0.500 0.250
Pd1 0.000 0.000 0.500
Pb1 0.000 0.500 0.622
```

Values from the calculation:
Energy (eV per formula unit): -21.021
M_tot (μB per atom): 0.000
ΔE_f (kJ per mole of atoms): -46.10

No. 7
Here is an optimized crystal structure of LaAgOs2 from Alexandria. Energies are from PBE.

CIF file:
```
data_LaAgOs2
_cell_length_a 3.064
_cell_length_b 4.880
_cell_length_c 4.988
_cell_angle_alpha 90.00
_cell_angle_beta 90.00
_cell_angle_gamma 90.00
_symmetry_space_group_name_H-M 'P m m m'
_symmetry_Int_Tables_number 47
_symmetry_space_group_name_Hall '-P 2 2'
loop_
_atom_site_label
_atom_site_fract_x
_atom_site_fract_y
_atom_site_fract_z
La1 0.000 0.000 0.000
Ag1 0.500 0.000 0.500
Os1 0.000 0.500 0.500
Os2 0.500 0.500 0.000
```

Values from the calculation:
Energy (eV per formula unit): -27.614
M_tot (μB per atom): 0.001
ΔE_f (kJ per mole of atoms): 63.30

No. 8
Here is an optimized crystal structure of Tc2CBrF from Alexandria. Energies are from PBE.

CIF file:
```
data_Tc2CBrF
_cell_length_a 4.155
_cell_length_b 4.155
_cell_length_c 5.229
_cell_angle_alpha 90.00
_cell_angle_beta 90.00
_cell_angle_gamma 90.00
_symmetry_space_group_name_H-M 'P 4/m m m'
_symmetry_Int_Tables_number 123
_symmetry_space_group_name_Hall '-P 4 2'
loop_
_atom_site_label
_atom_site_fract_x
_atom_site_fract_y
_atom_site_fract_z
Tc1 0.000 0.500 0.000
C1 0.000 0.000 0.500
Br1 0.500 0.500 0.500
F1 0.500 0.500 0.000
```

Values from the calculation:
Formation energy (no corrections) (eV/atom): 2.009
Energy (eV per formula unit): -23.455
M_tot (μB per atom): 0.877

No. 9
Here is an optimized crystal structure of Ca2TlSb from Alexandria. Energies are from PBE.

CIF file:
```
data_Ca2TlSb
_cell_length_a 3.9278
_cell_length_b 3.9278
_cell_length_c 28.4101
_cell_angle_alpha 90.00
_cell_angle_beta 90.00
_cell_angle_gamma 120.00
_symmetry_space_group_name_H-M 'R -3 m'
_symmetry_Int_Tables_number 166
_symmetry_space_group_name_Hall '-R 3 2"'
loop_
_atom_site_label
_atom_site_fract_x
_atom_site_fract_y
_atom_site_fract_z
Ca1 0.0000 0.0000 0.2456
Tl1 0.0000 0.0000 0.0000
Sb1 0.0000 0.0000 0.5000
```

Values from the calculation:
Formation energy (no corrections) (eV/atom): -0.478
Energy (eV per formula unit): -12.405
M_tot (μB per atom): 0.060

No. 10
Here is an optimized crystal structure of KNb2InO6 from Alexandria. Energies are from PBE.

CIF file:
```
data_KNb2InO6
_cell_length_a 8.147
_cell_length_b 8.147
_cell_length_c 8.147
_cell_angle_alpha 90.00
_cell_angle_beta 90.00
_cell_angle_gamma 90.00
_symmetry_space_group_name_H-M 'F m -3 m'
_symmetry_Int_Tables_number 225
_symmetry_space_group_name_Hall '-F 4 2 3'
loop_
_atom_site_label
_atom_site_fract_x
_atom_site_fract_y
_atom_site_fract_z
K1 0.000 0.000 0.000
Nb1 0.250 0.250 0.250
In1 0.000 0.000 0.500
O1 0.000 0.250 0.250
```

Values from the calculation:
Formation energy (no corrections) (eV/atom): -2.165
Energy (eV per formula unit): -75.376
M_tot (μB per atom): 0.000

No. 11
Here is an optimized crystal structure of K2NpSiS4 from Alexandria. Energies are from PBE.

CIF file:
```
data_K2NpSiS4
_cell_length_a 8.266
_cell_length_b 8.293
_cell_length_c 11.605
_cell_angle_alpha 90.00
_cell_angle_beta 90.00
_cell_angle_gamma 90.00
_symmetry_space_group_name_H-M 'I m m a'
_symmetry_Int_Tables_number 74
_symmetry_space_group_name_Hall '-I 2b 2'
loop_
_atom_site_label
_atom_site_fract_x
_atom_site_fract_y
_atom_site_fract_z
K1 0.000 0.000 0.000
K2 0.250 0.250 0.250
Np1 0.250 0.250 0.750
Si1 0.000 0.000 0.500
S1 0.000 0.034 0.729
S2 0.213 0.250 0.521
```

Values from the calculation:
Formation energy (no corrections) (eV/atom): -0.949
Energy (eV per formula unit): -44.657
M_tot (μB per atom): 0.375

No. 12
Here is an optimized crystal structure of Nd6TlCd6 from Alexandria. Energies are from PBE.

CIF file:
```
data_Nd6TlCd6
_cell_length_a 6.1904
_cell_length_b 6.1904
_cell_length_c 11.4495
_cell_angle_alpha 90.00
_cell_angle_beta 90.00
_cell_angle_gamma 120.00
_symmetry_space_group_name_H-M 'P 6/m m m'
_symmetry_Int_Tables_number 191
_symmetry_space_group_name_Hall '-P 6 2'
loop_
_atom_site_label
_atom_site_fract_x
_atom_site_fract_y
_atom_site_fract_z
Nd1 0.0000 0.0000 0.1594
Nd2 0.3333 0.6667 0.0000
Nd3 0.3333 0.6667 0.5000
Tl1 0.0000 0.0000 0.5000
Cd1 0.0000 0.5000 0.2559
```

Values from the calculation:
Energy (eV per formula unit): -38.699
M_tot (μB per atom): 0.000
ΔE_f (kJ per mole of atoms): -16.59